First-principles (PBEsol) data for crystalline Li3MnP2O8 at its relaxed geometry, as listed in Alexandria.

Cell lengths 7.2760, 8.0885, 8.4794 Å; angles 61.80, 79.96, 89.34 degrees
Closest atoms and distances in Å follow each position.
Space group P-1 (No. 2)
Unique sites:
Li  0.0000  0.0000  0.0000 (multiplicity 1)  4 O 1.95-2.15
Li  0.0809  0.3130  0.3558 (multiplicity 2)  3 O 1.90-2.07
Li  0.1501  0.3125  0.6833 (multiplicity 2)  4 O 1.93-2.06
Li  0.1786  0.9910  0.3524 (multiplicity 2)  4 O 1.94-2.17
Li  0.2111  0.6755  0.0071 (multiplicity 2)  4 O 1.88-2.02
Mn  0.4853  0.3278  0.3506 (multiplicity 2)  5 O 1.87-2.05
Mn  0.5000  0.0000  0.0000 (multiplicity 1)  4 O 1.89-1.90
P  0.2286  0.9630  0.6721 (multiplicity 2)  4 O 1.52-1.58
P  0.2363  0.3249  0.9780 (multiplicity 2)  4 O 1.52-1.58
P  0.2783  0.6790  0.3458 (multiplicity 2)  4 O 1.53-1.57
O  0.0479  0.8781  0.6628 (multiplicity 2)  1 P 1.52
O  0.0495  0.2889  0.9337 (multiplicity 2)  1 P 1.54
O  0.0773  0.7152  0.4041 (multiplicity 2)  1 P 1.53
O  0.2061  0.0518  0.7972 (multiplicity 2)  1 P 1.52
O  0.2308  0.4160  0.1002 (multiplicity 2)  1 P 1.52
O  0.2862  0.4621  0.4153 (multiplicity 2)  1 P 1.57
O  0.3056  0.1145  0.4682 (multiplicity 2)  1 P 1.58
O  0.3190  0.1277  0.0788 (multiplicity 2)  1 P 1.58
O  0.3334  0.7787  0.1321 (multiplicity 2)  1 P 1.57
O  0.3619  0.8020  0.7503 (multiplicity 2)  1 P 1.57
O  0.3628  0.4463  0.7858 (multiplicity 2)  1 P 1.57
O  0.4121  0.7632  0.4139 (multiplicity 2)  1 P 1.53

Magnetic moment: 12.00 Bohr magnetons per cell
Formation energy without anion corrections: -2204.1 meV/atom
Relative energy among the computed polymorphs: 14 meV/atom